1.
{
  "formula": "Cd3Ag2Sn",
  "functional": "PBE",
  "state": "optimized geometry",
  "e_tot_ev_per_atom": -2.065,
  "e_form_mev_per_atom": 10,
  "cell": [[5.039, 0.000, 0.000], [-2.487, 6.785, 0.000], [-0.070, -2.115, 7.780]],
  "species": ["Cd", "Cd", "Cd", "Cd", "Cd", "Cd", "Ag", "Ag", "Ag", "Ag", "Sn", "Sn"],
  "frac_coords": [[0.081, 0.155, 0.276], [0.317, 0.632, 0.501], [0.388, 0.781, 0.916], [0.612, 0.219, 0.084], [0.683, 0.368, 0.499], [0.919, 0.845, 0.724], [0.241, 0.477, 0.103], [0.472, 0.937, 0.303], [0.528, 0.063, 0.697], [0.759, 0.523, 0.897], [0.148, 0.301, 0.723], [0.852, 0.699, 0.277]]
}

2.
{
  "formula": "TiCu4Pd2",
  "functional": "PBE",
  "state": "optimized geometry",
  "e_tot_ev_per_atom": -4.982,
  "e_form_mev_per_atom": -30,
  "cell": [[6.868, 0.000, 0.000], [0.000, 6.868, 0.000], [0.000, 0.000, 4.284]],
  "species": ["Ti", "Ti", "Cu", "Cu", "Cu", "Cu", "Cu", "Cu", "Cu", "Cu", "Pd", "Pd", "Pd", "Pd"],
  "frac_coords": [[0.000, 0.000, 0.000], [0.500, 0.500, 0.500], [0.109, 0.369, 0.000], [0.131, 0.609, 0.500], [0.369, 0.109, 0.000], [0.391, 0.869, 0.500], [0.609, 0.131, 0.500], [0.631, 0.891, 0.000], [0.869, 0.391, 0.500], [0.891, 0.631, 0.000], [0.178, 0.178, 0.500], [0.322, 0.678, 0.000], [0.678, 0.322, 0.000], [0.822, 0.822, 0.500]]
}

3.
{
  "formula": "ScCuGe",
  "functional": "PBE",
  "state": "optimized geometry",
  "e_tot_ev_per_atom": -5.496,
  "e_form_mev_per_atom": -481,
  "cell": [[2.085, 1.204, 6.935], [-2.085, 1.204, 6.935], [0.000, -2.408, 6.935]],
  "species": ["Sc", "Sc", "Cu", "Cu", "Ge", "Ge"],
  "frac_coords": [[0.000, 0.000, 0.000], [0.162, 0.162, 0.162], [0.287, 0.287, 0.287], [0.751, 0.751, 0.751], [0.412, 0.412, 0.412], [0.581, 0.581, 0.581]]
}